GGA-PBE Ca3Al5Au12, relaxed; calculated total energy = -3.47 eV per atom
1.0
-7.8758 7.8758 7.8758
7.8758 -7.8758 7.8758
7.8758 7.8758 -7.8758
Ca Al Au
12 20 48
direct
0.1250 0.2500 0.3750
0.1250 0.3750 0.7500
0.2500 0.3750 0.1250
0.2500 0.8750 0.6250
0.3750 0.1250 0.2500
0.3750 0.7500 0.1250
0.6250 0.2500 0.8750
0.6250 0.8750 0.7500
0.7500 0.1250 0.3750
0.7500 0.6250 0.8750
0.8750 0.6250 0.2500
0.8750 0.7500 0.6250
0.0000 0.0000 0.0000
0.0000 0.0000 0.5000
0.0000 0.5000 0.0000
0.0000 0.5000 0.5000
0.1250 0.7500 0.8750
0.1250 0.8750 0.2500
0.2500 0.1250 0.8750
0.2500 0.6250 0.3750
0.3750 0.2500 0.6250
0.3750 0.6250 0.7500
0.5000 0.0000 0.0000
0.5000 0.0000 0.5000
0.5000 0.5000 0.0000
0.5000 0.5000 0.5000
0.6250 0.3750 0.2500
0.6250 0.7500 0.3750
0.7500 0.3750 0.6250
0.7500 0.8750 0.1250
0.8750 0.1250 0.7500
0.8750 0.2500 0.1250
0.0435 0.2108 0.1269
0.0435 0.3327 0.9166
0.0834 0.6269 0.4160
0.0834 0.9565 0.6673
0.0840 0.7108 0.6673
0.0840 0.8731 0.4166
0.1269 0.0435 0.2108
0.1269 0.5834 0.9160
0.1673 0.2108 0.5840
0.1673 0.4565 0.5834
0.2108 0.1269 0.0435
0.2108 0.5840 0.1673
0.2892 0.3327 0.9160
0.2892 0.4565 0.3731
0.3327 0.9160 0.2892
0.3327 0.9166 0.0435
0.3731 0.2892 0.4565
0.3731 0.5840 0.9166
0.4160 0.0834 0.6269
0.4160 0.8327 0.7892
0.4166 0.0840 0.8731
0.4166 0.8327 0.5435
0.4565 0.3731 0.2892
0.4565 0.5834 0.1673
0.5435 0.4166 0.8327
0.5435 0.6269 0.7108
0.5834 0.1673 0.4565
0.5834 0.9160 0.1269
0.5840 0.1673 0.2108
0.5840 0.9166 0.3731
0.6269 0.4160 0.0834
0.6269 0.7108 0.5435
0.6673 0.0834 0.9565
0.6673 0.0840 0.7108
0.7108 0.5435 0.6269
0.7108 0.6673 0.0840
0.7892 0.4160 0.8327
0.7892 0.8731 0.9565
0.8327 0.5435 0.4166
0.8327 0.7892 0.4160
0.8731 0.4166 0.0840
0.8731 0.9565 0.7892
0.9160 0.1269 0.5834
0.9160 0.2892 0.3327
0.9166 0.0435 0.3327
0.9166 0.3731 0.5840
0.9565 0.6673 0.0834
0.9565 0.7892 0.8731

---

GGA-PBE CaAl2Au, relaxed; calculated total energy = -3.37 eV per atom
1.0
-2.0967 2.0967 4.8428
2.0967 -2.0967 4.8428
2.0967 2.0967 -4.8428
Ca Al Au
1 2 1
direct
0.0000 0.0000 0.0000
0.2500 0.7500 0.5000
0.7500 0.2500 0.5000
0.5000 0.5000 0.0000